A | First-principles (GGA-PBE) data for a relaxed CaFeAsSe2 crystal, as listed in Alexandria via LeMat-Bulk.

The structure belongs to space group P4/mmm (No. 123); the cell edges are 5.334, 5.334 and 5.368 Å and the angles 90.00°, 90.00° and 90.00°. The inequivalent atoms are Ca at (0.000, 0.000, 0.000), Fe at (0.500, 0.500, 0.500), As at (0.000, 0.000, 0.500) and Se at (0.000, 0.500, 0.000).



B | First-principles (GGA-PBE) data for a relaxed CaFeAsSe2 crystal, as listed in Alexandria via LeMat-Bulk.

The structure belongs to space group P4/mmm (No. 123); the cell edges are 5.066, 5.066 and 4.388 Å and the angles 90.00°, 90.00° and 90.00°. The inequivalent atoms are Ca at (0.000, 0.000, 0.000), Fe at (0.500, 0.500, 0.500), As at (0.500, 0.500, 0.000) and Se at (0.000, 0.500, 0.500).



Ranking the structures above by stability puts B first and A last.